# 1
Computed, not measured: AsS2F after structural relaxation at the PBE-GGA level of DFT.

Structure (POSCAR):
```
AsS2F
1.0
1.715 0.990 7.217
-1.715 0.990 7.217
0.000 -1.980 7.217
As S F
1 2 1
Cartesian
0.000 0.000 0.000
0.000 0.000 8.759
0.000 0.000 12.893
0.000 0.000 10.826
```

Output
Symmetry: R-3m, No. 166
Energy above the most stable polymorph in this dataset, meV/atom: 0
Raw formation energy, eV/atom: -0.114
Magnetization, μB/f.u.: 0.00

# 2
Computed, not measured: AcPm2In2 after structural relaxation at the PBE-GGA level of DFT.

Structure (POSCAR):
```
AcPm2In2
1.0
1.818 -12.298 0.000
1.818 12.298 0.000
0.000 0.000 3.665
Ac Pm In
1 2 2
Cartesian
0.000 0.000 0.000
1.818 7.768 0.000
1.818 -7.768 0.000
1.818 2.459 1.832
1.818 -2.459 1.832
```

Output
Symmetry: Cmmm, No. 65
Energy of formation, kJ/mol of formula units: -120.3
Energy above the most stable polymorph in this dataset, meV/atom: 0
Magnetization, μB/f.u.: 0.01

# 3
Computed, not measured: ZnTcNi2 after structural relaxation at the PBE-GGA level of DFT.

Structure (POSCAR):
```
ZnTcNi2
1.0
2.578 0.000 0.000
0.000 3.647 0.000
0.000 0.000 5.337
Zn Tc Ni
1 1 2
Cartesian
0.000 0.000 0.000
1.289 1.823 3.749
0.000 0.000 2.560
1.289 1.823 1.205
```

Output
Symmetry: Pmm2, No. 25
Energy of formation, kJ/mol of formula units: 8.6
Magnetization, μB/f.u.: 0.00

# 4
Computed, not measured: UCuPb2S6 after structural relaxation at the PBE-GGA level of DFT.

Structure (POSCAR):
```
UCuPb2S6
1.0
6.588 0.000 0.000
0.000 6.841 0.000
-5.890 0.000 10.508
U Cu Pb S
2 2 4 12
Cartesian
0.000 0.000 0.000
-2.945 3.420 5.254
0.349 0.000 5.254
3.294 3.420 0.000
-2.474 0.497 8.058
0.471 2.924 2.804
0.228 3.917 7.704
3.173 6.344 2.450
-0.593 0.183 2.431
-3.537 3.238 7.685
1.418 4.740 0.626
-1.527 5.522 5.880
2.067 1.487 0.496
-0.878 1.933 5.750
1.577 4.908 4.758
-1.368 5.354 10.012
2.225 1.319 4.628
-0.719 2.101 9.882
4.236 3.603 2.824
1.291 6.658 8.078
```

Output
Symmetry: P2_1/c, No. 14
Raw formation energy, eV/atom: -0.611
Magnetization, μB/f.u.: 0.81

# 5
Computed, not measured: Ti4SnRh2 after structural relaxation at the PBE-GGA level of DFT.

Structure (POSCAR):
```
Ti4SnRh2
1.0
2.052 1.185 9.213
-2.052 1.185 9.213
0.000 -2.369 9.213
Ti Sn Rh
4 1 2
Cartesian
0.000 0.000 2.923
0.000 0.000 8.344
0.000 0.000 19.294
0.000 0.000 24.715
0.000 0.000 13.819
0.000 0.000 11.005
0.000 0.000 16.633
```

Output
Symmetry: R-3m, No. 166
Energy of formation, kJ/mol of formula units: -167.1
Magnetization, μB/f.u.: 0.00

# 6
Computed, not measured: ZrPNCl2 after structural relaxation at the PBE-GGA level of DFT.

Structure (POSCAR):
```
ZrPNCl2
1.0
5.067 0.000 0.000
0.000 5.067 0.000
0.000 0.000 5.158
Zr P N Cl
1 1 1 2
Cartesian
0.000 0.000 0.000
0.000 0.000 2.579
2.533 2.533 2.579
0.000 2.533 0.000
2.533 0.000 0.000
```

Output
Symmetry: P4/mmm, No. 123
Energy above the most stable polymorph in this dataset, meV/atom: 0
Raw formation energy, eV/atom: 0.363
Magnetization, μB/f.u.: 2.00

# 7
Computed, not measured: AlFe2N after structural relaxation at the PBE-GGA level of DFT.

Structure (POSCAR):
```
AlFe2N
1.0
-3.042 3.042 2.347
3.042 -3.042 2.347
3.042 3.042 -2.347
Al Fe N
2 4 2
Cartesian
0.000 0.000 0.000
0.000 3.042 1.174
1.521 2.232 -0.587
3.852 1.521 0.587
1.521 0.810 1.761
-0.810 1.521 2.934
3.042 0.000 1.174
0.000 0.000 2.347
```

Output
Symmetry: I-42d, No. 122
Raw formation energy, eV/atom: -0.028
Magnetization, μB/f.u.: 0.92

# 8
Computed, not measured: Ba2AcHgO4 after structural relaxation at the PBE-GGA level of DFT.

Structure (POSCAR):
```
Ba2AcHgO4
1.0
-2.651 2.651 6.020
2.651 -2.651 6.020
2.651 2.651 -6.020
Ba Ac Hg O
2 1 1 4
Cartesian
2.651 0.000 3.010
0.000 2.651 3.010
0.000 0.000 0.000
0.000 0.000 6.020
2.651 0.000 0.000
0.000 0.000 2.451
0.000 2.651 0.000
0.000 0.000 9.588
```

Output
Symmetry: I4/mmm, No. 139
Raw formation energy, eV/atom: -2.246
Magnetization, μB/f.u.: 0.00

# 9
Computed, not measured: SrTmSiN3 after structural relaxation at the PBE-GGA level of DFT.

Structure (POSCAR):
```
SrTmSiN3
1.0
6.267 -1.877 0.000
6.267 1.877 0.000
-1.985 0.000 6.906
Sr Tm Si N
2 2 2 6
Cartesian
1.707 0.000 0.500
8.843 0.000 6.406
0.763 0.000 3.975
9.787 0.000 2.932
4.781 0.000 5.000
5.769 0.000 1.907
-0.519 0.000 1.993
3.032 0.000 4.507
4.041 0.000 1.415
6.509 0.000 5.491
7.517 0.000 2.399
11.069 0.000 4.914
```

Output
Symmetry: C2/m, No. 12
Raw formation energy, eV/atom: -0.967
Magnetization, μB/f.u.: 0.00

# 10
Computed, not measured: Ce3In4Rh4 after structural relaxation at the PBE-GGA level of DFT.

Structure (POSCAR):
```
Ce3In4Rh4
1.0
-1.866 4.137 7.743
1.866 -4.137 7.743
1.866 4.137 -7.743
Ce In Rh
3 4 4
Cartesian
0.000 0.000 0.000
1.866 0.000 6.088
0.000 4.137 1.655
1.866 1.555 -2.670
1.866 1.555 2.670
0.000 2.582 5.073
0.000 2.582 10.413
0.000 0.000 3.973
1.866 2.157 0.000
0.000 1.980 7.743
0.000 0.000 11.514
```

Output
Symmetry: Immm, No. 71
Energy of formation, kJ/mol of formula units: -658.2
Magnetization, μB/f.u.: 1.02

# 11
Computed, not measured: Mg2BeH after structural relaxation at the PBE-GGA level of DFT.

Structure (POSCAR):
```
Mg2BeH
1.0
0.000 3.064 3.064
3.064 0.000 3.064
3.064 3.064 0.000
Mg Be H
2 1 1
Cartesian
1.532 1.532 1.532
4.596 4.596 4.596
0.000 0.000 0.000
3.064 3.064 3.064
```

Output
Symmetry: Fm-3m, No. 225
Energy above the most stable polymorph in this dataset, meV/atom: 176
Magnetization, μB/f.u.: 0.00

# 12
Computed, not measured: Tm4IrPb after structural relaxation at the PBE-GGA level of DFT.

Structure (POSCAR):
```
Tm4IrPb
1.0
4.442 -6.673 0.000
4.442 6.673 0.000
-2.345 0.000 5.521
Tm Ir Pb
8 2 2
Cartesian
1.266 4.424 5.148
0.944 0.950 3.625
4.100 4.424 3.134
2.116 -0.950 0.864
4.422 0.950 4.657
2.438 -4.424 2.387
5.595 -0.950 1.896
5.273 -4.424 0.374
3.855 6.669 1.380
2.683 -6.669 4.141
3.855 1.724 1.380
2.683 -1.724 4.141
```

Output
Symmetry: C2/c, No. 15
Energy of formation, kJ/mol of formula units: -335.9
Energy above the most stable polymorph in this dataset, meV/atom: 0
Magnetization, μB/f.u.: 0.00

# 13
Computed, not measured: Sm3HgH after structural relaxation at the PBE-GGA level of DFT.

Structure (POSCAR):
```
Sm3HgH
1.0
4.920 0.000 0.000
0.000 4.920 0.000
0.000 0.000 4.920
Sm Hg H
3 1 1
Cartesian
0.000 0.000 2.460
0.000 2.460 0.000
2.460 0.000 0.000
2.460 2.460 2.460
0.000 0.000 0.000
```

Output
Symmetry: Pm-3m, No. 221
Energy above the most stable polymorph in this dataset, meV/atom: 58
Magnetization, μB/f.u.: 1.10

# 14
Computed, not measured: Ac2PrSb after structural relaxation at the PBE-GGA level of DFT.

Structure (POSCAR):
```
Ac2PrSb
1.0
4.353 0.000 0.000
0.000 4.353 0.000
0.000 0.000 7.885
Ac Pr Sb
2 1 1
Cartesian
0.000 0.000 1.730
0.000 0.000 6.156
2.176 2.176 3.943
2.176 2.176 0.000
```

Output
Symmetry: P4/mmm, No. 123
Energy above the most stable polymorph in this dataset, meV/atom: 38
Raw formation energy, eV/atom: -0.438
Magnetization, μB/f.u.: 0.03

# 15
Computed, not measured: Hf2Ti4Mn after structural relaxation at the PBE-GGA level of DFT.

Structure (POSCAR):
```
Hf2Ti4Mn
1.0
-2.199 2.199 7.228
2.199 -2.199 7.228
2.199 2.199 -7.228
Hf Ti Mn
2 4 1
Cartesian
0.000 0.000 1.943
0.000 0.000 12.512
2.199 0.000 0.000
0.000 0.000 4.849
0.000 2.199 0.000
0.000 0.000 9.606
0.000 0.000 7.228
```

Output
Symmetry: I4/mmm, No. 139
Energy of formation, kJ/mol of formula units: 336.8
Magnetization, μB/f.u.: 1.93

# 16
Computed, not measured: Cd2SbAs after structural relaxation at the PBE-GGA level of DFT.

Structure (POSCAR):
```
Cd2SbAs
1.0
3.123 -4.843 0.000
3.123 4.843 0.000
0.000 0.000 3.136
Cd Sb As
2 1 1
Cartesian
1.562 2.422 0.000
1.562 -2.422 0.000
0.000 0.000 1.568
3.123 0.000 1.568
```

Output
Symmetry: Cmmm, No. 65
Energy above the most stable polymorph in this dataset, meV/atom: 177
Raw formation energy, eV/atom: 0.211
Magnetization, μB/f.u.: 0.00

# 17
Computed, not measured: TmThSi2Pt2 after structural relaxation at the PBE-GGA level of DFT.

Structure (POSCAR):
```
TmThSi2Pt2
1.0
4.222 0.000 0.000
-2.111 3.657 0.000
0.000 0.000 7.873
Tm Th Si Pt
1 1 2 2
Cartesian
0.000 0.000 0.000
0.000 0.000 3.937
0.000 2.438 1.938
2.111 1.219 5.935
0.000 2.438 6.061
2.111 1.219 1.812
```

Output
Symmetry: P-3m1, No. 164
Raw formation energy, eV/atom: -1.167
Magnetization, μB/f.u.: 0.00

# 18
Computed, not measured: TbScSnPd after structural relaxation at the PBE-GGA level of DFT.

Structure (POSCAR):
```
TbScSnPd
1.0
0.000 3.559 3.559
3.559 0.000 3.559
3.559 3.559 0.000
Tb Sc Sn Pd
1 1 1 1
Cartesian
0.000 0.000 0.000
3.559 3.559 3.559
5.338 5.338 5.338
1.779 1.779 1.779
```

Output
Symmetry: F-43m, No. 216
Energy of formation, kJ/mol of formula units: -276.9
Magnetization, μB/f.u.: 0.00

# 19
Computed, not measured: LiV6S8 after structural relaxation at the PBE-GGA level of DFT.

Structure (POSCAR):
```
LiV6S8
1.0
4.536 2.619 3.562
-4.536 2.619 3.562
0.000 -5.238 3.562
Li V S
1 6 8
Cartesian
0.000 0.000 0.000
-0.896 -1.272 4.143
-0.654 1.412 4.143
-1.550 0.140 6.543
1.550 -0.140 4.143
0.654 -1.412 6.543
0.896 1.272 6.543
-2.699 0.188 4.481
0.000 0.000 2.401
-1.512 -2.244 6.205
1.187 -2.432 4.481
-1.187 2.432 6.205
1.512 2.244 4.481
0.000 0.000 8.285
2.699 -0.188 6.205
```

Output
Symmetry: R-3, No. 148
Raw formation energy, eV/atom: -0.962
Magnetization, μB/f.u.: 0.02

# 20
Computed, not measured: LaFeW2I after structural relaxation at the PBE-GGA level of DFT.

Structure (POSCAR):
```
LaFeW2I
1.0
5.036 0.000 0.000
0.000 5.036 0.000
0.000 0.000 4.673
La Fe W I
1 1 2 1
Cartesian
0.000 0.000 0.000
2.518 2.518 0.000
0.000 2.518 2.337
2.518 0.000 2.337
2.518 2.518 2.337
```

Output
Symmetry: P4/mmm, No. 123
Raw formation energy, eV/atom: 1.786
Magnetization, μB/f.u.: 3.04

# 21
Computed, not measured: Al2CdAgTe4 after structural relaxation at the PBE-GGA level of DFT.

Structure (POSCAR):
```
Al2CdAgTe4
1.0
0.000 4.833 6.201
4.387 0.000 6.201
4.387 4.833 0.000
Al Cd Ag Te
2 1 1 4
Cartesian
2.193 2.417 0.000
2.193 2.417 6.201
4.387 4.833 3.009
4.387 4.833 9.263
4.387 2.397 4.553
6.538 4.833 7.432
4.387 7.270 4.553
2.236 4.833 7.432
```

Output
Symmetry: Fmm2, No. 42
Raw formation energy, eV/atom: -0.283
Magnetization, μB/f.u.: 0.00

# 22
Computed, not measured: TlCo2Si after structural relaxation at the PBE-GGA level of DFT.

Structure (POSCAR):
```
TlCo2Si
1.0
4.275 0.000 0.000
0.000 4.275 0.000
0.000 0.000 3.046
Tl Co Si
1 2 1
Cartesian
0.000 0.000 0.000
0.000 2.138 1.523
2.138 0.000 1.523
2.138 2.138 0.000
```

Output
Symmetry: P4/mmm, No. 123
Energy above the most stable polymorph in this dataset, meV/atom: 321
Raw formation energy, eV/atom: 0.353
Magnetization, μB/f.u.: 1.30

# 23
Computed, not measured: Th2UOsC4 after structural relaxation at the PBE-GGA level of DFT.

Structure (POSCAR):
```
Th2UOsC4
1.0
1.751 -5.948 0.000
1.751 5.948 0.000
0.000 0.000 12.358
Th U Os C
4 2 2 8
Cartesian
1.751 4.328 6.757
1.751 4.328 11.779
1.751 -4.328 0.579
1.751 -4.328 5.600
1.751 1.263 9.268
1.751 -1.263 3.089
1.751 1.771 3.089
1.751 -1.771 9.268
1.751 5.375 9.268
1.751 3.376 1.829
1.751 3.376 4.350
1.751 0.000 0.000
1.751 0.000 6.179
1.751 -3.376 8.007
1.751 -3.376 10.529
1.751 -5.375 3.089
```

Output
Symmetry: Cmcm, No. 63
Energy of formation, kJ/mol of formula units: 78.0
Magnetization, μB/f.u.: 0.00

# 24
Computed, not measured: AgC3 after structural relaxation at the PBE-GGA level of DFT.

Structure (POSCAR):
```
AgC3
1.0
2.300 -5.033 0.000
2.300 5.033 0.000
0.000 0.000 3.958
Ag C
2 6
Cartesian
2.300 3.568 2.968
2.300 -3.568 0.989
1.619 0.970 2.968
2.300 0.545 0.989
1.619 -0.970 0.989
2.982 0.970 2.968
2.300 -0.545 2.968
2.982 -0.970 0.989
```

Output
Symmetry: Cmcm, No. 63
Energy of formation, kJ/mol of formula units: 908.8
Energy above the most stable polymorph in this dataset, meV/atom: 1396
Magnetization, μB/f.u.: 0.00

# 25
Computed, not measured: BaMg5 after structural relaxation at the PBE-GGA level of DFT.

Structure (POSCAR):
```
BaMg5
1.0
3.744 0.000 0.000
0.000 3.744 0.000
0.000 0.000 12.066
Ba Mg
1 5
Cartesian
0.000 0.000 0.000
0.000 0.000 4.344
0.000 0.000 7.723
1.872 1.872 2.672
1.872 1.872 6.033
1.872 1.872 9.394
```

Output
Symmetry: P4/mmm, No. 123
Energy of formation, kJ/mol of formula units: 9.2
Magnetization, μB/f.u.: 0.00